(1)
Below is a relaxed PuTeBr crystal, with properties calculated at the PBE level.

a = 4.324 Å, b = 18.394 Å, c = 6.137 Å
α = 90.00°, β = 90.00°, γ = 90.00°
Space group Cmcm (No. 63)
Unique sites:
Pu  0.000  0.179  0.250 (multiplicity 4)
Te  0.000  0.198  0.750 (multiplicity 4)
Br  0.000  0.423  0.750 (multiplicity 4)

The value obtained for the total DFT energy (no corrections) is -7.6200 eV/atom. The offset from the most stable computed form comes out at 0 meV/atom. The density of states at the Fermi level is 3.88 states/eV/atom.

=====

(2)
Below is a relaxed Pu4Te3Br crystal, with properties calculated at the PBE level.

a = 4.4201 Å, b = 4.4201 Å, c = 42.0728 Å
α = 90.00°, β = 90.00°, γ = 120.00°
Space group R-3m (No. 166, hexagonal axes)
Unique sites:
Pu  0.0000  0.0000  0.1235 (multiplicity 6)
Pu  0.0000  0.0000  0.3709 (multiplicity 6)
Te  0.0000  0.0000  0.2531 (multiplicity 6)
Te  0.0000  0.0000  0.5000 (multiplicity 3)
Br  0.0000  0.0000  0.0000 (multiplicity 3)

The value obtained for the total DFT energy (no corrections) is -9.5660 eV/atom. The density of states at the Fermi level is 5.07 states/eV/atom.

=====

(3)
Below is a relaxed Pu3TeBr3 crystal, with properties calculated at the PBE level.

a = 7.3036 Å, b = 7.3036 Å, c = 31.0084 Å
α = 90.00°, β = 90.00°, γ = 120.00°
Space group R-3 (No. 148, hexagonal axes)
Unique sites:
Pu  0.0001  0.2895  0.0551 (multiplicity 18)
Te  0.0000  0.0000  0.3333 (multiplicity 6)
Br  0.0003  0.3586  0.8895 (multiplicity 18)

The value obtained for the total DFT energy (no corrections) is -8.4263 eV/atom. The density of states at the Fermi level is 3.63 states/eV/atom.